# 1
## Li2NdHoCd4 (PBE)

Data for a relaxed Li2NdHoCd4 crystal.

abc: 5.0926 5.0926 25.0873
angles: 90.00 90.00 120.00
Space group R-3m (No. 166, hexagonal axes)
Inequivalent atoms, fractional coordinates:
Li: 0.0000 0.0000 0.2486 [6 per cell]
Nd: 0.0000 0.0000 0.0000 [3 per cell]
Ho: 0.0000 0.0000 0.5000 [3 per cell]
Cd: 0.0000 0.0000 0.1272 [6 per cell]
Cd: 0.0000 0.0000 0.3780 [6 per cell]

## Properties
- Energy of formation from the pure elements: -0.263 eV per atom
- Spin magnetization: 0.0 μB/cell

# 2
## LiHo2CdPd4 (PBE)

Data for a relaxed LiHo2CdPd4 crystal.

abc: 4.7496 4.7496 23.0396
angles: 90.00 90.00 120.00
Space group R-3m (No. 166, hexagonal axes)
Inequivalent atoms, fractional coordinates:
Li: 0.0000 0.0000 0.0000 [3 per cell]
Ho: 0.0000 0.0000 0.2500 [6 per cell]
Cd: 0.0000 0.0000 0.5000 [3 per cell]
Pd: 0.0000 0.0000 0.1217 [6 per cell]
Pd: 0.0000 0.0000 0.3734 [6 per cell]

## Properties
- Energy of formation from the pure elements: -0.719 eV per atom
- Spin magnetization: 0.0 μB/cell

# 3
## Li2PmHoCd4 (PBE)

Data for a relaxed Li2PmHoCd4 crystal.

abc: 5.0809 5.0809 24.9851
angles: 90.00 90.00 120.00
Space group R-3m (No. 166, hexagonal axes)
Inequivalent atoms, fractional coordinates:
Li: 0.0000 0.0000 0.2489 [6 per cell]
Pm: 0.0000 0.0000 0.0000 [3 per cell]
Ho: 0.0000 0.0000 0.5000 [3 per cell]
Cd: 0.0000 0.0000 0.1267 [6 per cell]
Cd: 0.0000 0.0000 0.3774 [6 per cell]

## Properties
- Energy of formation from the pure elements: -0.264 eV per atom
- Spin magnetization: 0.0 μB/cell

# 4
## LiPmHoCd (PBE)

Data for a relaxed LiPmHoCd crystal.

abc: 7.513 7.513 7.513
angles: 90.00 90.00 90.00
Space group F-43m (No. 216)
Inequivalent atoms, fractional coordinates:
Li: 0.000 0.000 0.000 [4 per cell]
Pm: 0.250 0.250 0.250 [4 per cell]
Ho: 0.250 0.250 0.750 [4 per cell]
Cd: 0.000 0.000 0.500 [4 per cell]

## Properties
- Energy of formation from the pure elements: -0.114 eV per atom
- Spin magnetization: 0.1 μB/cell

# 5
## LiPmHo2Cd4 (PBE)

Data for a relaxed LiPmHo2Cd4 crystal.

abc: 5.1925 5.1925 25.9131
angles: 90.00 90.00 120.00
Space group R-3m (No. 166, hexagonal axes)
Inequivalent atoms, fractional coordinates:
Li: 0.0000 0.0000 0.0000 [3 per cell]
Pm: 0.0000 0.0000 0.5000 [3 per cell]
Ho: 0.0000 0.0000 0.2528 [6 per cell]
Cd: 0.0000 0.0000 0.1167 [6 per cell]
Cd: 0.0000 0.0000 0.3728 [6 per cell]

## Properties
- Energy of formation from the pure elements: -0.265 eV per atom
- Spin magnetization: 0.0 μB/cell

# 6
## LiPrHoCd (PBE)

Data for a relaxed LiPrHoCd crystal.

abc: 7.571 7.571 7.571
angles: 90.00 90.00 90.00
Space group F-43m (No. 216)
Inequivalent atoms, fractional coordinates:
Li: 0.000 0.000 0.000 [4 per cell]
Pr: 0.250 0.250 0.250 [4 per cell]
Ho: 0.250 0.250 0.750 [4 per cell]
Cd: 0.000 0.000 0.500 [4 per cell]

## Properties
- Energy of formation from the pure elements: -0.112 eV per atom
- Spin magnetization: 0.0 μB/cell

# 7
## LiHo2CdS4 (PBE)

Data for a relaxed LiHo2CdS4 crystal.

abc: 6.695 3.880 6.973
angles: 90.00 108.47 90.00
Space group P2/m (No. 10)
Inequivalent atoms, fractional coordinates:
Li: 0.000 0.000 0.000 [1 per cell]
Ho: 0.000 0.500 0.500 [1 per cell]
Ho: 0.500 0.000 0.500 [1 per cell]
Cd: 0.500 0.500 0.000 [1 per cell]
S: 0.245 0.000 0.739 [2 per cell]
S: 0.254 0.500 0.258 [2 per cell]

## Properties
- Spin magnetization: 0.0 μB/cell
- E_form (uncorrected): -1505 meV per atom

# 8
## LiHoScCd (PBE)

Data for a relaxed LiHoScCd crystal.

abc: 7.216 7.216 7.216
angles: 90.00 90.00 90.00
Space group F-43m (No. 216)
Inequivalent atoms, fractional coordinates:
Li: 0.000 0.000 0.000 [4 per cell]
Ho: 0.250 0.250 0.250 [4 per cell]
Sc: 0.250 0.250 0.750 [4 per cell]
Cd: 0.000 0.000 0.500 [4 per cell]

## Properties
- Energy of formation from the pure elements: -0.094 eV per atom
- Spin magnetization: 0.0 μB/cell